Density functional theory data (PBE) for a relaxed Pa2Zn12Ni5 crystal.

## Properties
DOS at the Fermi energy = 15.31 states/eV per cell
energy of formation from the pure elements = -0.188 eV per atom
ρ = 9.0 Mg/m³

Cell lengths 6.618, 6.618, 6.618 Å; angles 84.23, 84.23, 84.23 degrees
Sites, in units of the cell vectors:
Pa1 0.676 0.676 0.676
Pa2 0.324 0.324 0.324
Zn1 0.287 0.713 0.000
Zn2 0.713 0.000 0.287
Zn3 0.000 0.287 0.713
Zn4 0.713 0.287 0.000
Zn5 0.287 0.000 0.713
Zn6 0.000 0.713 0.287
Zn7 0.349 0.349 0.848
Zn8 0.349 0.848 0.349
Zn9 0.848 0.349 0.349
Zn10 0.651 0.152 0.651
Zn11 0.651 0.651 0.152
Zn12 0.152 0.651 0.651
Ni1 0.000 0.000 0.500
Ni2 0.000 0.500 0.000
Ni3 0.500 0.000 0.000
Ni4 0.876 0.876 0.876
Ni5 0.124 0.124 0.124